The following is a DFT calculation (PBE-GGA) of a relaxed structure of CrFe2MoH.

Results
SG ... P4/mmm, No. 123
Energy ... -8.067 eV/atom
V ... 50 Å³ per cell
DOS at the Fermi energy ... 1.014 states/eV per atom
Theoretical density ... 8.7 Mg/m³

a = 3.653 Å, b = 3.653 Å, c = 3.747 Å
α = 90.00°, β = 90.00°, γ = 90.00°
Positions (direct):
Cr 0.000 0.000 0.500
Fe 0.000 0.500 0.000
H 0.000 0.000 0.000
Fe 0.500 0.000 0.000
Mo 0.500 0.500 0.500